(1)
Density functional theory data (PBE) for a geometry-optimized Tb3Pr2Tm2 structure.

Properties
crystal system = monoclinic
magnetic moment = 0.00 μB per atom
space-group type = P2_1/c
relative energy among the computed polymorphs = 0.0000 eV/atom
Fermi-level density of states = 10.69 states/eV/f.u.

Lattice parameters (Å, degrees): 6.273 6.077 12.244 90.00 100.98 90.00
Element x y z (fractional)
1 Tb 0.000 0.000 0.000
2 Tb 0.000 0.500 0.500
3 Tb 0.439 0.074 0.859
4 Tb 0.439 0.426 0.359
5 Tb 0.561 0.574 0.641
6 Tb 0.561 0.926 0.141
7 Pr 0.137 0.606 0.790
8 Pr 0.137 0.894 0.290
9 Pr 0.863 0.106 0.710
10 Pr 0.863 0.394 0.210
11 Tm 0.289 0.041 0.566
12 Tm 0.289 0.459 0.066
13 Tm 0.711 0.541 0.934
14 Tm 0.711 0.959 0.434

=====

(2)
Density functional theory data (PBE) for a geometry-optimized TbPrTm2 structure.

Properties
crystal system = monoclinic
magnetic moment = 0.00 μB per atom
space-group type = P2/c
relative energy among the computed polymorphs = 0.0084 eV/atom
Fermi-level density of states = 6.65 states/eV/f.u.

Lattice parameters (Å, degrees): 6.288 7.260 11.350 90.00 90.06 90.00
Element x y z (fractional)
1 Tb 0.166 0.001 0.374
2 Tb 0.166 0.999 0.874
3 Tb 0.834 0.001 0.126
4 Tb 0.834 0.999 0.626
5 Pr 0.333 0.251 0.622
6 Pr 0.333 0.749 0.122
7 Pr 0.667 0.251 0.878
8 Pr 0.667 0.749 0.378
9 Tm 0.165 0.499 0.375
10 Tm 0.165 0.501 0.875
11 Tm 0.331 0.252 0.127
12 Tm 0.331 0.748 0.627
13 Tm 0.669 0.252 0.373
14 Tm 0.669 0.748 0.873
15 Tm 0.835 0.499 0.125
16 Tm 0.835 0.501 0.625

=====

(3)
Density functional theory data (PBE) for a geometry-optimized Tb2Pr8Tm3 structure.

Properties
crystal system = monoclinic
magnetic moment = 0.00 μB per atom
E_tot = -4.491 eV/atom
space-group type = C2/m
Fermi-level density of states = 17.86 states/eV/f.u.

Lattice parameters (Å, degrees): 10.970 10.970 5.743 90.02 90.02 41.38
Element x y z (fractional)
1 Tb 0.239 0.239 0.499
2 Tb 0.761 0.761 0.501
3 Pr 0.129 0.129 0.000
4 Pr 0.192 0.599 0.500
5 Pr 0.326 0.326 0.999
6 Pr 0.401 0.808 0.500
7 Pr 0.599 0.192 0.500
8 Pr 0.674 0.674 0.001
9 Pr 0.808 0.401 0.500
10 Pr 0.871 0.871 0.000
11 Tm 0.000 0.000 0.500
12 Tm 0.286 0.714 0.000
13 Tm 0.714 0.286 0.000

=====

(4)
Density functional theory data (PBE) for a geometry-optimized Tb9PrTm2 structure.

Properties
crystal system = tetragonal
magnetic moment = 0.00 μB per atom
space-group type = P4/mmm
relative energy among the computed polymorphs = 0.0000 eV/atom
Fermi-level density of states = 18.55 states/eV/f.u.

Lattice parameters (Å, degrees): 5.036 5.036 15.116 90.00 90.00 90.00
Element x y z (fractional)
1 Tb 0.000 0.000 0.000
2 Tb 0.000 0.000 0.336
3 Tb 0.000 0.000 0.664
4 Tb 0.000 0.500 0.170
5 Tb 0.000 0.500 0.500
6 Tb 0.000 0.500 0.830
7 Tb 0.500 0.000 0.170
8 Tb 0.500 0.000 0.500
9 Tb 0.500 0.000 0.830
10 Pr 0.500 0.500 0.000
11 Tm 0.500 0.500 0.335
12 Tm 0.500 0.500 0.665